Record 1
Density functional theory data (PBE) for crystalline BaRe2Os at its relaxed geometry.

Unit cell a=3.890 b=3.890 c=5.115 alpha=90.00 beta=90.00 gamma=90.00
Space group P4/mmm (No. 123)
Symmetry-distinct sites (fractional):
Ba  0.000  0.000  0.000 x1
Re  0.000  0.500  0.500 x2
Os  0.500  0.500  0.000 x1

energy above the lowest structure with this stoichiometry	1.0930	eV per atom
energy of formation	1.90	eV/atom
density of states at the Fermi level	5.7	states/eV per cell


Record 2
Density functional theory data (PBE) for crystalline TbPrCo2 at its relaxed geometry.

Unit cell a=6.854 b=6.854 c=6.854 alpha=90.00 beta=90.00 gamma=90.00
Space group Fm-3m (No. 225)
Symmetry-distinct sites (fractional):
Tb  0.000  0.000  0.000 x4
Pr  0.000  0.000  0.500 x4
Co  0.250  0.250  0.250 x8

energy above the lowest structure with this stoichiometry	0.1000	eV per atom
energy of formation	0.00	eV/atom
density of states at the Fermi level	4.9	states/eV per cell


Record 3
Density functional theory data (PBE) for crystalline Tb3Ce2DyHo6 at its relaxed geometry.

Unit cell a=6.119 b=10.596 c=11.689 alpha=90.00 beta=100.05 gamma=90.00
Space group C2/m (No. 12)
Symmetry-distinct sites (fractional):
Tb  0.000  0.000  0.000 x2
Tb  0.000  0.334  0.000 x4
Ce  0.000  0.167  0.500 x4
Dy  0.000  0.500  0.500 x2
Ho  0.248  0.000  0.749 x4
Ho  0.249  0.168  0.251 x8

energy of formation	0.05	eV/atom
density of states at the Fermi level	42.0	states/eV per cell


Record 4
Density functional theory data (PBE) for crystalline TeP2Ir at its relaxed geometry.

Unit cell a=3.4740 b=3.4740 c=22.0683 alpha=90.00 beta=90.00 gamma=120.00
Space group R-3m (No. 166, hexagonal axes)
Symmetry-distinct sites (fractional):
Te  0.0000  0.0000  0.0000 x3
P  0.0000  0.0000  0.2268 x6
Ir  0.0000  0.0000  0.5000 x3

density of states at the Fermi level	6.2	states/eV per cell


Record 5
Density functional theory data (PBE) for crystalline VTeCSe2 at its relaxed geometry.

Unit cell a=5.036 b=5.036 c=3.808 alpha=90.00 beta=90.00 gamma=90.00
Space group P4/mmm (No. 123)
Symmetry-distinct sites (fractional):
V  0.000  0.000  0.000 x1
Te  0.500  0.500  0.500 x1
C  0.000  0.000  0.500 x1
Se  0.000  0.500  0.000 x2

density of states at the Fermi level	5.2	states/eV per cell


Record 6
Density functional theory data (PBE) for crystalline RbHCl3 at its relaxed geometry.

Unit cell a=4.774 b=4.774 c=4.774 alpha=90.00 beta=90.00 gamma=90.00
Space group Pm-3m (No. 221)
Symmetry-distinct sites (fractional):
Rb  0.000  0.000  0.000 x1
H  0.500  0.500  0.500 x1
Cl  0.000  0.500  0.500 x3

energy above the lowest structure with this stoichiometry	0.5620	eV per atom
density of states at the Fermi level	6.7	states/eV per cell


Record 7
Density functional theory data (PBE) for crystalline ZnAuO at its relaxed geometry.

Unit cell a=10.100 b=3.417 c=6.264 alpha=90.00 beta=106.82 gamma=90.00
Space group C2/m (No. 12)
Symmetry-distinct sites (fractional):
Zn  0.185  0.000  0.306 x4
Au  0.080  0.000  0.867 x4
O  0.210  0.000  0.650 x4


Record 8
Density functional theory data (PBE) for crystalline CeDyZnFe at its relaxed geometry.

Unit cell a=6.973 b=6.973 c=6.973 alpha=90.00 beta=90.00 gamma=90.00
Space group F-43m (No. 216)
Symmetry-distinct sites (fractional):
Ce  0.000  0.000  0.000 x4
Dy  0.000  0.000  0.500 x4
Zn  0.250  0.250  0.750 x4
Fe  0.250  0.250  0.250 x4

energy of formation	-0.04	eV/atom
density of states at the Fermi level	25.9	states/eV per cell


Record 9
Density functional theory data (PBE) for crystalline La2BCl at its relaxed geometry.

Unit cell a=4.1130 b=4.1130 c=21.2102 alpha=90.00 beta=90.00 gamma=120.00
Space group R-3m (No. 166, hexagonal axes)
Symmetry-distinct sites (fractional):
La  0.0000  0.0000  0.2351 x6
B  0.0000  0.0000  0.5000 x3
Cl  0.0000  0.0000  0.0000 x3

energy above the lowest structure with this stoichiometry	0.0000	eV per atom
density of states at the Fermi level	13.8	states/eV per cell


Record 10
Density functional theory data (PBE) for crystalline Na2In3Ge at its relaxed geometry.

Unit cell a=3.288 b=5.114 c=8.954 alpha=90.00 beta=90.00 gamma=90.00
Space group Pmm2 (No. 25)
Symmetry-distinct sites (fractional):
Na  0.000  0.000  0.000 x1
Na  0.000  0.500  0.483 x1
In  0.500  0.000  0.651 x1
In  0.500  0.500  0.162 x1
In  0.500  0.500  0.824 x1
Ge  0.500  0.000  0.326 x1

energy above the lowest structure with this stoichiometry	0.0442	eV per atom
energy of formation	-0.06	eV/atom
density of states at the Fermi level	2.2	states/eV per cell


Record 11
Density functional theory data (PBE) for crystalline NpC at its relaxed geometry.

Unit cell a=3.457 b=3.229 c=4.510 alpha=90.00 beta=102.00 gamma=90.00
Space group P2_1/m (No. 11)
Symmetry-distinct sites (fractional):
Np  0.111  0.250  0.334 x2
C  0.483  0.250  0.913 x2

energy above the lowest structure with this stoichiometry	0.1866	eV per atom
energy of formation	0.36	eV/atom


Record 12
Density functional theory data (PBE) for crystalline InBi3Pb6 at its relaxed geometry.

Unit cell a=9.195 b=5.888 c=12.203 alpha=90.00 beta=108.28 gamma=90.00
Space group P2_1/m (No. 11)
Symmetry-distinct sites (fractional):
In  0.108  0.250  0.065 x2
Bi  0.080  0.750  0.739 x2
Bi  0.292  0.750  0.537 x2
Bi  0.319  0.250  0.868 x2
Pb  0.086  0.750  0.218 x2
Pb  0.105  0.250  0.574 x2
Pb  0.292  0.750  0.023 x2
Pb  0.302  0.250  0.372 x2
Pb  0.487  0.750  0.335 x2
Pb  0.500  0.250  0.172 x2

energy above the lowest structure with this stoichiometry	0.0000	eV per atom
energy of formation	0.03	eV/atom
density of states at the Fermi level	10.6	states/eV per cell


Short version: energy = -7.614, -5.904, -4.774, -5.638, -5.054, -2.282, -3.787, -5.107, -5.433, -2.643, -10.723, -3.638 eV/atom, in the order given.
Short version: size of the total moment = 0.0, 3.1, 3.6, 0.0, 0.0, 1.0, 0.0, 2.2, 0.0, 0.0, 1.3, 0.0 μB per cell, in the order given.